1.
Compound: Ce5PrSn3
Source: Alexandria via LeMat-Bulk
Functional: PBE
Structure: relaxed

```
data_Ce5PrSn3
_cell_length_a 9.5386
_cell_length_b 9.5386
_cell_length_c 6.6710
_cell_angle_alpha 90.00
_cell_angle_beta 90.00
_cell_angle_gamma 120.00
_space_group_name_H-M_alt 'P 63/m c m'
_space_group_IT_number 193
_space_group_name_Hall '-P 6c 2'
loop_
_atom_site_label
_atom_site_type_symbol
_atom_site_fract_x
_atom_site_fract_y
_atom_site_fract_z
Ce1 Ce 0.0000 0.3381 0.2500
Ce2 Ce 0.3333 0.6667 0.0000
Pr1 Pr 0.0000 0.0000 0.0000
Sn1 Sn 0.0000 0.3311 0.7500
```

Computed properties:
- Final energy: -5.647 eV per atom

2.
Compound: CePr5Sn3
Source: Alexandria via LeMat-Bulk
Functional: PBE
Structure: relaxed

```
data_CePr5Sn3
_cell_length_a 8.446
_cell_length_b 8.446
_cell_length_c 15.592
_cell_angle_alpha 90.00
_cell_angle_beta 90.00
_cell_angle_gamma 90.00
_space_group_name_H-M_alt 'I 4/m c m'
_space_group_IT_number 140
_space_group_name_Hall '-I 4 2c'
loop_
_atom_site_label
_atom_site_type_symbol
_atom_site_fract_x
_atom_site_fract_y
_atom_site_fract_z
Ce1 Ce 0.000 0.500 0.250
Pr1 Pr 0.000 0.000 0.000
Pr2 Pr 0.195 0.305 0.137
Sn1 Sn 0.000 0.000 0.250
Sn2 Sn 0.118 0.382 0.500
```

Computed properties:
- E above lowest polymorph: 239 meV/atom

3.
Compound: CePr8Sn6
Source: Alexandria via LeMat-Bulk
Functional: PBE
Structure: relaxed

```
data_CePr8Sn6
_cell_length_a 9.4527
_cell_length_b 9.4527
_cell_length_c 19.9627
_cell_angle_alpha 90.00
_cell_angle_beta 90.00
_cell_angle_gamma 120.00
_space_group_name_H-M_alt 'R -3'
_space_group_IT_number 148
_space_group_name_Hall '-R 3'
loop_
_atom_site_label
_atom_site_type_symbol
_atom_site_fract_x
_atom_site_fract_y
_atom_site_fract_z
Ce1 Ce 0.0000 0.0000 0.0000
Pr1 Pr 0.0000 0.0000 0.3331
Pr2 Pr 0.0007 0.3319 0.1034
Sn1 Sn 0.0004 0.3346 0.9325
```

Computed properties:
- Final energy: -5.096 eV per atom

4.
Compound: Ce2PrSn3
Source: Alexandria via LeMat-Bulk
Functional: PBE
Structure: relaxed

```
data_Ce2PrSn3
_cell_length_a 7.124
_cell_length_b 4.892
_cell_length_c 10.176
_cell_angle_alpha 90.00
_cell_angle_beta 90.00
_cell_angle_gamma 90.00
_space_group_name_H-M_alt 'P m m a'
_space_group_IT_number 51
loop_
_space_group_symop_operation_xyz
'x,y,z'
'-x,-y,-z'
'-x+1/2,-y,z'
'x+1/2,y,-z'
'x+1/2,-y,-z'
'-x+1/2,y,z'
'-x,y,-z'
'x,-y,z'
loop_
_atom_site_label
_atom_site_type_symbol
_atom_site_fract_x
_atom_site_fract_y
_atom_site_fract_z
Ce1 Ce 0.000 0.000 0.000
Ce2 Ce 0.250 0.500 0.202
Pr1 Pr 0.250 0.500 0.568
Sn1 Sn 0.041 0.000 0.352
Sn2 Sn 0.250 0.500 0.885
```

Computed properties:
- Final energy: -5.342 eV per atom

5.
Compound: CePr5Sn6
Source: Alexandria via LeMat-Bulk
Functional: PBE
Structure: relaxed

```
data_CePr5Sn6
_cell_length_a 5.035
_cell_length_b 9.133
_cell_length_c 15.146
_cell_angle_alpha 90.00
_cell_angle_beta 90.00
_cell_angle_gamma 90.00
_space_group_name_H-M_alt 'I m m m'
_space_group_IT_number 71
_space_group_name_Hall '-I 2 2'
loop_
_atom_site_label
_atom_site_type_symbol
_atom_site_fract_x
_atom_site_fract_y
_atom_site_fract_z
Ce1 Ce 0.000 0.000 0.000
Pr1 Pr 0.000 0.000 0.334
Pr2 Pr 0.000 0.500 0.000
Pr3 Pr 0.000 0.500 0.333
Sn1 Sn 0.000 0.249 0.166
Sn2 Sn 0.000 0.252 0.500
```

Computed properties:
- Final energy: -5.145 eV per atom

6.
Compound: Ce3PrSn3
Source: Alexandria via LeMat-Bulk
Functional: PBE
Structure: relaxed

```
data_Ce3PrSn3
_cell_length_a 9.3549
_cell_length_b 9.3549
_cell_length_c 5.3553
_cell_angle_alpha 90.00
_cell_angle_beta 90.00
_cell_angle_gamma 120.00
_space_group_name_H-M_alt 'P 63/m'
_space_group_IT_number 176
_space_group_name_Hall '-P 6c'
loop_
_atom_site_label
_atom_site_type_symbol
_atom_site_fract_x
_atom_site_fract_y
_atom_site_fract_z
Ce1 Ce 0.0034 0.2317 0.2500
Pr1 Pr 0.3333 0.6667 0.2500
Sn1 Sn 0.0712 0.4533 0.7500
```

Computed properties:
- Final energy: -5.373 eV per atom

7.
Compound: Ce2Pr2Sn5
Source: Alexandria via LeMat-Bulk
Functional: PBE
Structure: relaxed

```
data_Ce2Pr2Sn5
_cell_length_a 15.010
_cell_length_b 8.366
_cell_length_c 8.454
_cell_angle_alpha 90.00
_cell_angle_beta 90.00
_cell_angle_gamma 90.00
_space_group_name_H-M_alt 'C m c e'
_space_group_IT_number 64
_space_group_name_Hall '-C 2ac 2'
loop_
_atom_site_label
_atom_site_type_symbol
_atom_site_fract_x
_atom_site_fract_y
_atom_site_fract_z
Ce1 Ce 0.000 0.121 0.119
Pr1 Pr 0.212 0.000 0.500
Sn1 Sn 0.000 0.000 0.500
Sn2 Sn 0.135 0.185 0.815
```

Computed properties:
- Final energy: -5.154 eV per atom

8.
Compound: Ce2PrSn2
Source: Alexandria via LeMat-Bulk
Functional: PBE
Structure: relaxed

```
data_Ce2PrSn2
_cell_length_a 5.0684
_cell_length_b 5.0684
_cell_length_c 13.4215
_cell_angle_alpha 90.00
_cell_angle_beta 90.00
_cell_angle_gamma 120.00
_space_group_name_H-M_alt 'P 63/m m c'
_space_group_IT_number 194
_space_group_name_Hall '-P 6c 2c'
loop_
_atom_site_label
_atom_site_type_symbol
_atom_site_fract_x
_atom_site_fract_y
_atom_site_fract_z
Ce1 Ce 0.3333 0.6667 0.0273
Pr1 Pr 0.3333 0.6667 0.7500
Sn1 Sn 0.0000 0.0000 0.1284
```

Computed properties:
- Final energy: -5.397 eV per atom

9.
Compound: Ce2Pr3Sn3
Source: Alexandria via LeMat-Bulk
Functional: PBE
Structure: relaxed

```
data_Ce2Pr3Sn3
_cell_length_a 9.4673
_cell_length_b 9.4673
_cell_length_c 6.5118
_cell_angle_alpha 90.00
_cell_angle_beta 90.00
_cell_angle_gamma 120.00
_space_group_name_H-M_alt 'P 63/m c m'
_space_group_IT_number 193
_space_group_name_Hall '-P 6c 2'
loop_
_atom_site_label
_atom_site_type_symbol
_atom_site_fract_x
_atom_site_fract_y
_atom_site_fract_z
Ce1 Ce 0.3333 0.6667 0.0000
Pr1 Pr 0.0000 0.2546 0.2500
Sn1 Sn 0.0000 0.3881 0.7500
```

Computed properties:
- Final energy: -5.406 eV per atom

10.
Compound: TbCePrSn
Source: Alexandria via LeMat-Bulk
Functional: PBE
Structure: relaxed

```
data_TbCePrSn
_cell_length_a 7.736
_cell_length_b 7.736
_cell_length_c 7.736
_cell_angle_alpha 90.00
_cell_angle_beta 90.00
_cell_angle_gamma 90.00
_space_group_name_H-M_alt 'F -4 3 m'
_space_group_IT_number 216
_space_group_name_Hall 'F -4 2 3'
loop_
_atom_site_label
_atom_site_type_symbol
_atom_site_fract_x
_atom_site_fract_y
_atom_site_fract_z
Tb1 Tb 0.000 0.000 0.000
Ce1 Ce 0.250 0.250 0.250
Pr1 Pr 0.000 0.000 0.500
Sn1 Sn 0.250 0.250 0.750
```

Computed properties:
- Final energy: -5.040 eV per atom

11.
Compound: CePrSnTe
Source: Alexandria via LeMat-Bulk
Functional: PBE
Structure: relaxed

```
data_CePrSnTe
_cell_length_a 4.5292
_cell_length_b 4.5292
_cell_length_c 22.2830
_cell_angle_alpha 90.00
_cell_angle_beta 90.00
_cell_angle_gamma 120.00
_space_group_name_H-M_alt 'R 3 m'
_space_group_IT_number 160
_space_group_name_Hall 'R 3 -2"'
loop_
_atom_site_label
_atom_site_type_symbol
_atom_site_fract_x
_atom_site_fract_y
_atom_site_fract_z
Ce1 Ce 0.0000 0.0000 0.0000
Pr1 Pr 0.0000 0.0000 0.4948
Sn1 Sn 0.0000 0.0000 0.7456
Te1 Te 0.0000 0.0000 0.2488
```

Computed properties:
- Raw formation energy: -1.046 eV per atom

12.
Compound: CePrTmSn
Source: Alexandria via LeMat-Bulk
Functional: PBE
Structure: relaxed

```
data_CePrTmSn
_cell_length_a 7.690
_cell_length_b 7.690
_cell_length_c 7.690
_cell_angle_alpha 90.00
_cell_angle_beta 90.00
_cell_angle_gamma 90.00
_space_group_name_H-M_alt 'F -4 3 m'
_space_group_IT_number 216
_space_group_name_Hall 'F -4 2 3'
loop_
_atom_site_label
_atom_site_type_symbol
_atom_site_fract_x
_atom_site_fract_y
_atom_site_fract_z
Ce1 Ce 0.000 0.000 0.000
Pr1 Pr 0.250 0.250 0.250
Tm1 Tm 0.250 0.250 0.750
Sn1 Sn 0.000 0.000 0.500
```

Computed properties:
- Final energy: -4.979 eV per atom

13.
Compound: Ce2PrZn2Sn2
Source: Alexandria via LeMat-Bulk
Functional: PBE
Structure: relaxed

```
data_Ce2PrZn2Sn2
_cell_length_a 4.5557
_cell_length_b 4.5557
_cell_length_c 28.9095
_cell_angle_alpha 90.00
_cell_angle_beta 90.00
_cell_angle_gamma 120.00
_space_group_name_H-M_alt 'R -3 m'
_space_group_IT_number 166
_space_group_name_Hall '-R 3 2"'
loop_
_atom_site_label
_atom_site_type_symbol
_atom_site_fract_x
_atom_site_fract_y
_atom_site_fract_z
Ce1 Ce 0.0000 0.0000 0.1435
Pr1 Pr 0.0000 0.0000 0.0000
Zn1 Zn 0.0000 0.0000 0.4203
Sn1 Sn 0.0000 0.0000 0.2658
```

Computed properties:
- Final energy: -4.257 eV per atom

14.
Compound: CePrZnSn
Source: Alexandria via LeMat-Bulk
Functional: PBE
Structure: relaxed

```
data_CePrZnSn
_cell_length_a 7.586
_cell_length_b 7.586
_cell_length_c 7.586
_cell_angle_alpha 90.00
_cell_angle_beta 90.00
_cell_angle_gamma 90.00
_space_group_name_H-M_alt 'F -4 3 m'
_space_group_IT_number 216
_space_group_name_Hall 'F -4 2 3'
loop_
_atom_site_label
_atom_site_type_symbol
_atom_site_fract_x
_atom_site_fract_y
_atom_site_fract_z
Ce1 Ce 0.000 0.000 0.000
Pr1 Pr 0.000 0.000 0.500
Zn1 Zn 0.250 0.250 0.250
Sn1 Sn 0.250 0.250 0.750
```

Computed properties:
- Final energy: -4.431 eV per atom

15.
Compound: SrCePr2
Source: Alexandria via LeMat-Bulk
Functional: PBE
Structure: relaxed

```
data_SrCePr2
_cell_length_a 4.2564
_cell_length_b 4.2564
_cell_length_c 30.9314
_cell_angle_alpha 90.00
_cell_angle_beta 90.00
_cell_angle_gamma 120.00
_space_group_name_H-M_alt 'R -3 m'
_space_group_IT_number 166
_space_group_name_Hall '-R 3 2"'
loop_
_atom_site_label
_atom_site_type_symbol
_atom_site_fract_x
_atom_site_fract_y
_atom_site_fract_z
Sr1 Sr 0.0000 0.0000 0.0000
Ce1 Ce 0.0000 0.0000 0.5000
Pr1 Pr 0.0000 0.0000 0.1159
```

Computed properties:
- E above lowest polymorph: 561 meV/atom

16.
Compound: SrCePr2
Source: Alexandria via LeMat-Bulk
Functional: PBE
Structure: relaxed

```
data_SrCePr2
_cell_length_a 3.704
_cell_length_b 3.704
_cell_length_c 10.882
_cell_angle_alpha 90.00
_cell_angle_beta 90.00
_cell_angle_gamma 90.00
_space_group_name_H-M_alt 'P 4/m m m'
_space_group_IT_number 123
_space_group_name_Hall '-P 4 2'
loop_
_atom_site_label
_atom_site_type_symbol
_atom_site_fract_x
_atom_site_fract_y
_atom_site_fract_z
Sr1 Sr 0.000 0.000 0.000
Ce1 Ce 0.000 0.000 0.500
Pr1 Pr 0.500 0.500 0.284
```

Computed properties:
- E above lowest polymorph: 0 meV/atom

17.
Compound: SrCe2Pr3Te6
Source: Alexandria via LeMat-Bulk
Functional: PBE
Structure: relaxed

```
data_SrCe2Pr3Te6
_cell_length_a 19.846
_cell_length_b 4.519
_cell_length_c 9.160
_cell_angle_alpha 90.00
_cell_angle_beta 103.59
_cell_angle_gamma 90.00
_space_group_name_H-M_alt 'C 1 2/m 1'
_space_group_IT_number 12
loop_
_space_group_symop_operation_xyz
'x,y,z'
'-x,-y,-z'
'-x,y,-z'
'x,-y,z'
'x+1/2,y+1/2,z'
'-x+1/2,-y+1/2,-z'
'-x+1/2,y+1/2,-z'
'x+1/2,-y+1/2,z'
loop_
_atom_site_label
_atom_site_type_symbol
_atom_site_fract_x
_atom_site_fract_y
_atom_site_fract_z
Sr1 Sr 0.000 0.000 0.000
Ce1 Ce 0.170 0.500 0.339
Pr1 Pr 0.000 0.000 0.500
Pr2 Pr 0.165 0.500 0.827
Te1 Te 0.003 0.500 0.254
Te2 Te 0.166 0.000 0.581
Te3 Te 0.168 0.000 0.085
```

Computed properties:
- Raw formation energy: -1.454 eV per atom

18.
Compound: SrCe3Pr4Te8
Source: Alexandria via LeMat-Bulk
Functional: PBE
Structure: relaxed

```
data_SrCe3Pr4Te8
_cell_length_a 9.0742
_cell_length_b 9.0742
_cell_length_c 22.2596
_cell_angle_alpha 90.00
_cell_angle_beta 90.00
_cell_angle_gamma 120.00
_space_group_name_H-M_alt 'R -3 m'
_space_group_IT_number 166
_space_group_name_Hall '-R 3 2"'
loop_
_atom_site_label
_atom_site_type_symbol
_atom_site_fract_x
_atom_site_fract_y
_atom_site_fract_z
Sr1 Sr 0.0000 0.0000 0.0000
Ce1 Ce 0.0000 0.5000 0.0000
Pr1 Pr 0.0000 0.0000 0.5000
Pr2 Pr 0.0000 0.5000 0.5000
Te1 Te 0.0000 0.0000 0.2510
Te2 Te 0.0029 0.5014 0.2502
```

Computed properties:
- Raw formation energy: -1.439 eV per atom

19.
Compound: CePr2Ta
Source: Alexandria via LeMat-Bulk
Functional: PBE
Structure: relaxed

```
data_CePr2Ta
_cell_length_a 3.2458
_cell_length_b 3.2458
_cell_length_c 36.5456
_cell_angle_alpha 90.00
_cell_angle_beta 90.00
_cell_angle_gamma 120.00
_space_group_name_H-M_alt 'R -3 m'
_space_group_IT_number 166
_space_group_name_Hall '-R 3 2"'
loop_
_atom_site_label
_atom_site_type_symbol
_atom_site_fract_x
_atom_site_fract_y
_atom_site_fract_z
Ce1 Ce 0.0000 0.0000 0.0000
Pr1 Pr 0.0000 0.0000 0.4187
Ta1 Ta 0.0000 0.0000 0.5000
```

Computed properties:
- Final energy: -6.160 eV per atom

20.
Compound: TbCePr2
Source: Alexandria via LeMat-Bulk
Functional: PBE
Structure: relaxed

```
data_TbCePr2
_cell_length_a 8.192
_cell_length_b 8.192
_cell_length_c 8.192
_cell_angle_alpha 90.00
_cell_angle_beta 90.00
_cell_angle_gamma 90.00
_space_group_name_H-M_alt 'F m -3 m'
_space_group_IT_number 225
_space_group_name_Hall '-F 4 2 3'
loop_
_atom_site_label
_atom_site_type_symbol
_atom_site_fract_x
_atom_site_fract_y
_atom_site_fract_z
Tb1 Tb 0.000 0.000 0.000
Ce1 Ce 0.000 0.000 0.500
Pr1 Pr 0.250 0.250 0.250
```

Computed properties:
- E above lowest polymorph: 130 meV/atom

no.,size of the total moment (μB/cell)
1,15.831
2,9.299
3,4.040
4,3.465
5,2.994
6,5.462
7,0.961
8,5.645
9,7.060
10,1.826
11,2.318
12,1.668
13,6.884
14,4.005
15,0.002
16,0.283
17,4.814
18,10.873
19,0.015
20,12.783